Density functional theory data (PBE) for a geometry-optimized MnZn3As structure.

Calculated values
* distance to the lowest polymorph of the same formula: 0 meV/atom
* energy relative to the elements: 69 kJ per mole of atoms
* calculated total energy: -14.1 eV/f.u.

CIF file:
```
data_MnZn3As
_cell_length_a 4.876
_cell_length_b 4.876
_cell_length_c 4.876
_cell_angle_alpha 90.00
_cell_angle_beta 90.00
_cell_angle_gamma 90.00
_symmetry_space_group_name_H-M 'P m -3 m'
_symmetry_Int_Tables_number 221
_symmetry_space_group_name_Hall '-P 4 2 3'
loop_
_atom_site_label
_atom_site_fract_x
_atom_site_fract_y
_atom_site_fract_z
Mn1 0.000 0.000 0.000
Zn1 0.000 0.500 0.500
As1 0.500 0.500 0.500
```